Record 1
The following is a PBE-GGA calculation of a geometry-optimized RbPO4 structure, from Alexandria.

abc: 6.077 5.195 7.883
angles: 68.04 90.00 90.00
Fractional coordinates of all 12 atoms:
1 O 0.750 0.398 0.354
2 O 0.554 0.154 0.164
3 P 0.250 0.848 0.711
4 P 0.750 0.152 0.289
5 O 0.250 0.097 0.527
6 O 0.054 0.846 0.836
7 O 0.446 0.846 0.836
8 O 0.946 0.154 0.164
9 Rb 0.250 0.657 0.239
10 O 0.250 0.602 0.646
11 O 0.750 0.903 0.473
12 Rb 0.750 0.343 0.761

Calculated values
- formation energy (no corrections) (eV/atom) = -1.585
- theoretical density (g/cm³) = 2.60

=====

Record 2
The following is a PBE-GGA calculation of a geometry-optimized Er2MnGa4 structure, from Alexandria.

abc: 4.571 4.571 8.062
angles: 106.47 106.47 90.00
Fractional coordinates of all 7 atoms:
1 Ga 0.637 0.637 0.275
2 Ga 0.500 0.000 0.000
3 Er 0.165 0.165 0.330
4 Ga 0.000 0.500 0.000
5 Er 0.835 0.835 0.670
6 Mn 0.000 0.000 0.000
7 Ga 0.363 0.363 0.725

Calculated values
- energy of formation (meV per atom) = -35.6
- theoretical density (g/cm³) = 7.19

=====

One value per record, in order, for calculated volume: 230.8; 154.4 Å³ per cell.